# Fe3BIr (PBE, relaxed)
data_Fe3BIr
_chemical_formula_sum 'Fe3 B1 Ir1'
_symmetry_space_group_name_H-M 'P 1'
_symmetry_Int_Tables_number 1
_symmetry_space_group_name_Hall 'P 1'
_cell_length_a 3.773
_cell_length_b 3.773
_cell_length_c 3.773
_cell_angle_alpha 90.00
_cell_angle_beta 90.00
_cell_angle_gamma 90.00
loop_
_atom_site_label
_atom_site_type_symbol
_atom_site_fract_x
_atom_site_fract_y
_atom_site_fract_z
B1 B 0.000 0.000 0.000
Ir1 Ir 0.500 0.500 0.500
Fe1 Fe 0.000 0.500 0.000
Fe2 Fe 0.000 0.000 0.500
Fe3 Fe 0.500 0.000 0.000
# Offset from the most stable computed form   0 meV per atom
# Mass density   11.45 g/cm³
# E_form   238 meV/atom
# Total magnetic moment   0.004 μB/f.u.
# DOS at the Fermi energy   8.0 states/eV per cell